Density functional theory data (GGA-PBE) for crystalline Nd2MgGe4Rh3 at its relaxed geometry.

a b c (Å): 4.286 4.286 10.476
angles (deg): 90.00 90.00 90.00
Fractional positions:
Nd1 0.000 0.500 0.236
Nd2 0.500 0.000 0.764
Mg1 0.000 0.000 0.500
Ge1 0.000 0.000 0.000
Ge2 0.000 0.500 0.647
Ge3 0.500 0.000 0.353
Ge4 0.500 0.500 0.000
Rh1 0.000 0.500 0.881
Rh2 0.500 0.000 0.119
Rh3 0.500 0.500 0.500

**DFT formation energy**: -0.77 eV/atom
**Crystal system**: tetragonal
**Final energy**: -5.93 eV/atom
**SG**: P-4m2 (115)